# 1
VASP calculation (PBE-GGA) on a relaxed La12Y2Er5 crystal.

M_tot = 0.00 Bohr magnetons per cell
Raw total energy = -4.89 eV/atom
Space-group type = C2/m

Geometry as extended XYZ:
```
19
Lattice="6.654 -5.875 0.000 6.654 5.875 0.000 -4.400 0.000 8.514" Properties=species:S:1:pos:R:3 pbc="T T T"
La 0.795 3.087 5.827
La -0.419 0.000 2.375
La 4.861 3.063 0.787
La 4.046 3.063 7.727
La 2.805 0.000 4.945
La 8.112 3.087 2.688
La 0.795 -3.087 5.827
La 6.102 0.000 3.569
La 4.861 -3.063 0.787
La 4.046 -3.063 7.727
La 9.327 0.000 6.139
La 8.112 -3.087 2.688
Y 4.454 3.338 4.257
Y 4.454 -3.338 4.257
Er -0.598 0.000 6.233
Er 3.151 0.000 1.183
Er 6.654 0.000 0.000
Er 5.756 0.000 7.331
Er 9.506 0.000 2.281
```

---

# 2
VASP calculation (PBE-GGA) on a relaxed La4Y8Er crystal.

M_tot = 3.86 Bohr magnetons per cell
Raw total energy = -5.30 eV/atom
Space-group type = R-3m

Geometry as extended XYZ:
```
13
Lattice="5.569 3.216 4.533 -5.569 3.216 4.533 0.000 -6.431 4.533" Properties=species:S:1:pos:R:3 pbc="T T T"
La 0.000 0.000 0.000
La -2.785 -1.608 4.533
La -2.785 1.608 9.066
La 0.000 3.216 4.533
Y 0.000 -3.331 5.617
Y -2.885 1.665 5.617
Y 0.000 0.000 3.274
Y -2.885 -1.665 7.982
Y 2.885 1.665 5.617
Y 0.000 0.000 10.325
Y 2.885 -1.665 7.982
Y 0.000 3.331 7.982
Er 0.000 0.000 6.799
```

---

# 3
VASP calculation (PBE-GGA) on a relaxed LaY4Er2 crystal.

M_tot = 0.00 Bohr magnetons per cell
Raw total energy = -5.56 eV/atom
Space-group type = Cmcm

Geometry as extended XYZ:
```
14
Lattice="2.827 -4.871 0.000 2.827 4.871 0.000 0.000 0.000 16.797" Properties=species:S:1:pos:R:3 pbc="T T T"
La 2.827 4.834 12.598
La 2.827 -4.834 4.199
Y 0.000 0.000 0.000
Y 0.000 0.000 8.399
Y 2.827 1.653 2.410
Y 2.827 1.653 5.989
Y 2.827 1.584 12.598
Y 2.827 -1.584 4.199
Y 2.827 -1.653 10.808
Y 2.827 -1.653 14.388
Er 2.827 1.609 9.338
Er 2.827 1.609 15.857
Er 2.827 -1.609 0.940
Er 2.827 -1.609 7.459
```